w | First-principles (GGA-PBE) data for an optimized crystal structure of Mg2AgH2, as listed in Alexandria via LeMat-Bulk.

crystal system = tetragonal
total moment = 0.00 μB per formula unit
DOS(E_F) = 0.1755 states/eV per atom

The structure in CIF format:
```
data_Mg2AgH2
_cell_length_a 3.2439
_cell_length_b 3.2439
_cell_length_c 12.2609
_cell_angle_alpha 90.00
_cell_angle_beta 90.00
_cell_angle_gamma 90.00
_symmetry_space_group_name_H-M 'I 4/m m m'
_symmetry_Int_Tables_number 139
_symmetry_space_group_name_Hall '-I 4 2'
loop_
_atom_site_label
_atom_site_type_symbol
_atom_site_fract_x
_atom_site_fract_y
_atom_site_fract_z
Mg1 Mg 0.0000 0.0000 0.1539
Ag1 Ag 0.0000 0.0000 0.5000
H1 H 0.0000 0.5000 0.2500
```

***

x | First-principles (GGA-PBE) data for an optimized crystal structure of Mg2AgH2, as listed in Alexandria via LeMat-Bulk.

crystal system = tetragonal
total moment = 0.00 μB per formula unit
DOS(E_F) = 0.1375 states/eV per atom

The structure in CIF format:
```
data_Mg2AgH2
_cell_length_a 7.1381
_cell_length_b 7.1381
_cell_length_c 2.8128
_cell_angle_alpha 90.00
_cell_angle_beta 90.00
_cell_angle_gamma 90.00
_symmetry_space_group_name_H-M 'P 4/m b m'
_symmetry_Int_Tables_number 127
_symmetry_space_group_name_Hall '-P 4 2ab'
loop_
_atom_site_label
_atom_site_type_symbol
_atom_site_fract_x
_atom_site_fract_y
_atom_site_fract_z
Mg1 Mg 0.1384 0.3616 0.0000
Ag1 Ag 0.0000 0.0000 0.0000
H1 H 0.1054 0.6054 0.5000
```

***

Quick one: most stable of them? w

***

w | First-principles (GGA-PBE) data for an optimized crystal structure of Mg2AgH2, as listed in Alexandria via LeMat-Bulk.

crystal system = tetragonal
total moment = 0.00 μB per formula unit
DOS(E_F) = 0.2188 states/eV per atom

The structure in CIF format:
```
data_Mg2AgH2
_cell_length_a 4.7304
_cell_length_b 4.7304
_cell_length_c 6.5334
_cell_angle_alpha 90.00
_cell_angle_beta 90.00
_cell_angle_gamma 90.00
_symmetry_space_group_name_H-M 'I 4/m m m'
_symmetry_Int_Tables_number 139
_symmetry_space_group_name_Hall '-I 4 2'
loop_
_atom_site_label
_atom_site_type_symbol
_atom_site_fract_x
_atom_site_fract_y
_atom_site_fract_z
Mg1 Mg 0.0000 0.5000 0.2500
Ag1 Ag 0.0000 0.0000 0.0000
H1 H 0.0000 0.0000 0.2622
```

***

x | First-principles (GGA-PBE) data for an optimized crystal structure of Mg2AgH2, as listed in Alexandria via LeMat-Bulk.

crystal system = tetragonal
total moment = 0.00 μB per formula unit
DOS(E_F) = 0.2403 states/eV per atom

The structure in CIF format:
```
data_Mg2AgH2
_cell_length_a 6.6684
_cell_length_b 6.6684
_cell_length_c 2.8679
_cell_angle_alpha 90.00
_cell_angle_beta 90.00
_cell_angle_gamma 90.00
_symmetry_space_group_name_H-M 'P 4/m b m'
_symmetry_Int_Tables_number 127
_symmetry_space_group_name_Hall '-P 4 2ab'
loop_
_atom_site_label
_atom_site_type_symbol
_atom_site_fract_x
_atom_site_fract_y
_atom_site_fract_z
Mg1 Mg 0.1649 0.3351 0.0000
Ag1 Ag 0.0000 0.0000 0.5000
H1 H 0.1165 0.6165 0.5000
```

***

Quick one: most stable of them? w

***

w | First-principles (GGA-PBE) data for an optimized crystal structure of Mg2AgH, as listed in Alexandria via LeMat-Bulk.

crystal system = tetragonal
total moment = 0.00 μB per formula unit
DOS(E_F) = 0.0661 states/eV per atom

The structure in CIF format:
```
data_Mg2AgH
_cell_length_a 6.0471
_cell_length_b 6.0471
_cell_length_c 7.0614
_cell_angle_alpha 90.00
_cell_angle_beta 90.00
_cell_angle_gamma 90.00
_symmetry_space_group_name_H-M 'I -4 2 d'
_symmetry_Int_Tables_number 122
_symmetry_space_group_name_Hall 'I -4 2bw'
loop_
_atom_site_label
_atom_site_type_symbol
_atom_site_fract_x
_atom_site_fract_y
_atom_site_fract_z
Mg1 Mg 0.1502 0.2500 0.1250
Ag1 Ag 0.0000 0.0000 0.5000
H1 H 0.0000 0.0000 0.0000
```

***

x | First-principles (GGA-PBE) data for an optimized crystal structure of Mg2AgH, as listed in Alexandria via LeMat-Bulk.

crystal system = trigonal
total moment = 0.00 μB per formula unit
DOS(E_F) = 0.1640 states/eV per atom

The structure in CIF format:
```
data_Mg2AgH
_cell_length_a 3.1677
_cell_length_b 3.1677
_cell_length_c 21.0480
_cell_angle_alpha 90.00
_cell_angle_beta 90.00
_cell_angle_gamma 120.00
_symmetry_space_group_name_H-M 'R -3 m'
_symmetry_Int_Tables_number 166
_symmetry_space_group_name_Hall '-R 3 2"'
loop_
_atom_site_label
_atom_site_type_symbol
_atom_site_fract_x
_atom_site_fract_y
_atom_site_fract_z
Mg1 Mg 0.0000 0.0000 0.2289
Ag1 Ag 0.0000 0.0000 0.0000
H1 H 0.0000 0.0000 0.5000
```

***

y | First-principles (GGA-PBE) data for an optimized crystal structure of Mg2AgH, as listed in Alexandria via LeMat-Bulk.

crystal system = cubic
total moment = 0.00 μB per formula unit
DOS(E_F) = 0.3901 states/eV per atom

The structure in CIF format:
```
data_Mg2AgH
_cell_length_a 6.4640
_cell_length_b 6.4640
_cell_length_c 6.4640
_cell_angle_alpha 90.00
_cell_angle_beta 90.00
_cell_angle_gamma 90.00
_symmetry_space_group_name_H-M 'F m -3 m'
_symmetry_Int_Tables_number 225
_symmetry_space_group_name_Hall '-F 4 2 3'
loop_
_atom_site_label
_atom_site_type_symbol
_atom_site_fract_x
_atom_site_fract_y
_atom_site_fract_z
Mg1 Mg 0.2500 0.2500 0.2500
Ag1 Ag 0.0000 0.0000 0.0000
H1 H 0.0000 0.0000 0.5000
```

***

Quick one: most stable of them? x

***

w | First-principles (GGA-PBE) data for an optimized crystal structure of MgAg2H, as listed in Alexandria via LeMat-Bulk.

crystal system = tetragonal
total moment = 0.00 μB per formula unit
DOS(E_F) = 0.2643 states/eV per atom

The structure in CIF format:
```
data_MgAg2H
_cell_length_a 5.9158
_cell_length_b 5.9158
_cell_length_c 7.5549
_cell_angle_alpha 90.00
_cell_angle_beta 90.00
_cell_angle_gamma 90.00
_symmetry_space_group_name_H-M 'I -4 2 d'
_symmetry_Int_Tables_number 122
_symmetry_space_group_name_Hall 'I -4 2bw'
loop_
_atom_site_label
_atom_site_type_symbol
_atom_site_fract_x
_atom_site_fract_y
_atom_site_fract_z
Mg1 Mg 0.0000 0.0000 0.0000
Ag1 Ag 0.1101 0.2500 0.6250
H1 H 0.0000 0.0000 0.5000
```

***

x | First-principles (GGA-PBE) data for an optimized crystal structure of MgAg2H, as listed in Alexandria via LeMat-Bulk.

crystal system = cubic
total moment = 0.00 μB per formula unit
DOS(E_F) = 0.3744 states/eV per atom

The structure in CIF format:
```
data_MgAg2H
_cell_length_a 6.3390
_cell_length_b 6.3390
_cell_length_c 6.3390
_cell_angle_alpha 90.00
_cell_angle_beta 90.00
_cell_angle_gamma 90.00
_symmetry_space_group_name_H-M 'F m -3 m'
_symmetry_Int_Tables_number 225
_symmetry_space_group_name_Hall '-F 4 2 3'
loop_
_atom_site_label
_atom_site_type_symbol
_atom_site_fract_x
_atom_site_fract_y
_atom_site_fract_z
Mg1 Mg 0.0000 0.0000 0.0000
Ag1 Ag 0.2500 0.2500 0.2500
H1 H 0.0000 0.0000 0.5000
```

***

Quick one: most stable of them? w

***

w | First-principles (GGA-PBE) data for an optimized crystal structure of MgAg2HPd, as listed in Alexandria via LeMat-Bulk.

crystal system = tetragonal
total moment = 0.00 μB per formula unit
DOS(E_F) = 0.3526 states/eV per atom

The structure in CIF format:
```
data_MgAg2HPd
_cell_length_a 4.2778
_cell_length_b 4.2778
_cell_length_c 3.9045
_cell_angle_alpha 90.00
_cell_angle_beta 90.00
_cell_angle_gamma 90.00
_symmetry_space_group_name_H-M 'P 4/m m m'
_symmetry_Int_Tables_number 123
_symmetry_space_group_name_Hall '-P 4 2'
loop_
_atom_site_label
_atom_site_type_symbol
_atom_site_fract_x
_atom_site_fract_y
_atom_site_fract_z
Mg1 Mg 0.0000 0.0000 0.0000
Ag1 Ag 0.0000 0.5000 0.5000
H1 H 0.5000 0.5000 0.5000
Pd1 Pd 0.5000 0.5000 0.0000
```

***

x | First-principles (GGA-PBE) data for an optimized crystal structure of MgAg2HPd, as listed in Alexandria via LeMat-Bulk.

crystal system = tetragonal
total moment = 0.00 μB per formula unit
DOS(E_F) = 0.1728 states/eV per atom

The structure in CIF format:
```
data_MgAg2HPd
_cell_length_a 4.0411
_cell_length_b 4.0411
_cell_length_c 4.3665
_cell_angle_alpha 90.00
_cell_angle_beta 90.00
_cell_angle_gamma 90.00
_symmetry_space_group_name_H-M 'P 4/m m m'
_symmetry_Int_Tables_number 123
_symmetry_space_group_name_Hall '-P 4 2'
loop_
_atom_site_label
_atom_site_type_symbol
_atom_site_fract_x
_atom_site_fract_y
_atom_site_fract_z
Mg1 Mg 0.0000 0.0000 0.0000
Ag1 Ag 0.0000 0.5000 0.5000
H1 H 0.0000 0.0000 0.5000
Pd1 Pd 0.5000 0.5000 0.0000
```

***

Quick one: most stable of them? w

***

w | First-principles (GGA-PBE) data for an optimized crystal structure of MgAgHPd2, as listed in Alexandria via LeMat-Bulk.

crystal system = tetragonal
total moment = 0.00 μB per formula unit
DOS(E_F) = 0.2929 states/eV per atom

The structure in CIF format:
```
data_MgAgHPd2
_cell_length_a 4.0116
_cell_length_b 4.0116
_cell_length_c 4.1764
_cell_angle_alpha 90.00
_cell_angle_beta 90.00
_cell_angle_gamma 90.00
_symmetry_space_group_name_H-M 'P 4/m m m'
_symmetry_Int_Tables_number 123
_symmetry_space_group_name_Hall '-P 4 2'
loop_
_atom_site_label
_atom_site_type_symbol
_atom_site_fract_x
_atom_site_fract_y
_atom_site_fract_z
Mg1 Mg 0.0000 0.0000 0.0000
Ag1 Ag 0.5000 0.5000 0.0000
H1 H 0.0000 0.0000 0.5000
Pd1 Pd 0.0000 0.5000 0.5000
```

***

x | First-principles (GGA-PBE) data for an optimized crystal structure of MgAgHPd2, as listed in Alexandria via LeMat-Bulk.

crystal system = tetragonal
total moment = 0.00 μB per formula unit
DOS(E_F) = 0.1393 states/eV per atom

The structure in CIF format:
```
data_MgAgHPd2
_cell_length_a 4.0689
_cell_length_b 4.0689
_cell_length_c 4.0719
_cell_angle_alpha 90.00
_cell_angle_beta 90.00
_cell_angle_gamma 90.00
_symmetry_space_group_name_H-M 'P 4/m m m'
_symmetry_Int_Tables_number 123
_symmetry_space_group_name_Hall '-P 4 2'
loop_
_atom_site_label
_atom_site_type_symbol
_atom_site_fract_x
_atom_site_fract_y
_atom_site_fract_z
Mg1 Mg 0.0000 0.0000 0.0000
Ag1 Ag 0.5000 0.5000 0.0000
H1 H 0.5000 0.5000 0.5000
Pd1 Pd 0.0000 0.5000 0.5000
```

***

Quick one: most stable of them? x